Entry 1:
# ZrTlP3 | Alexandria | GGA-PBEsol | optimized geometry
data_ZrTlP3
_chemical_formula_sum 'Zr1 Tl1 P3'
_cell_length_a 4.870
_cell_length_b 4.870
_cell_length_c 4.870
_cell_angle_alpha 90.00
_cell_angle_beta 90.00
_cell_angle_gamma 90.00
_space_group_name_H-M_alt 'P 1'
_space_group_IT_number 1
_space_group_name_Hall 'P 1'
loop_
_atom_site_label
_atom_site_fract_x
_atom_site_fract_y
_atom_site_fract_z
_atom_site_occupancy
P1 0.000 0.500 0.000 1
P2 0.000 0.000 0.500 1
P3 0.500 0.000 0.000 1
Tl1 0.000 0.000 0.000 1
Zr1 0.500 0.500 0.500 1
# Energy of formation from the pure elements   1.209 eV per atom
# Uncorrected energy   -23.05 eV per cell

Entry 2:
# Mo2AsOs | Alexandria | GGA-PBEsol | optimized geometry
data_Mo2AsOs
_chemical_formula_sum 'Mo2 As1 Os1'
_cell_length_a 2.844
_cell_length_b 4.061
_cell_length_c 5.086
_cell_angle_alpha 90.00
_cell_angle_beta 90.01
_cell_angle_gamma 90.00
_space_group_name_H-M_alt 'P 1'
_space_group_IT_number 1
_space_group_name_Hall 'P 1'
loop_
_atom_site_label
_atom_site_fract_x
_atom_site_fract_y
_atom_site_fract_z
_atom_site_occupancy
Mo1 0.000 0.000 0.748 1
Mo2 0.000 0.000 0.252 1
Os1 0.500 0.500 0.000 1
As1 0.500 0.500 0.500 1
# Energy of formation from the pure elements   0.092 eV per atom
# Uncorrected energy   -40.49 eV per cell

Number 1: total moment 0.00 μB/f.u.. Number 2: total moment 0.00 μB/f.u..